Crystalline PrSi2Ir at its relaxed geometry. Source: OQMD, functional PBE.

Density (g/cm³): 8.1
DFT total energy (eV for the cell shown): -52.9
M_tot (μB per atom): 0.00

Cell: 3.6813 5.4862 7.8724 Å, 90.00 90.00 90.00°
Space group Pmc2_1 (No. 26)
Inequivalent atoms, fractional coordinates:
Pr: 0.0000 0.0175 0.0000 [2 per cell]
Si: 0.0000 0.4515 0.7350 [2 per cell]
Si: 0.5000 0.2422 0.2616 [2 per cell]
Ir: 0.5000 0.4865 0.5167 [2 per cell]